The following is a DFT calculation (GGA-PBE) of an optimized crystal structure of CsNaMg14O15.

Results
- Size of the total moment: 0.0 μB per formula unit
- Offset from the most stable computed form: 41.9 meV/atom
- Total DFT energy (no corrections): -169.6 eV for the cell shown
- Formation energy from raw total energies: -2.283 eV/atom
- Space-group type: Pmm2

abc: 4.4136 8.8885 8.5518
angles: 90.00 90.00 90.00
Sites, in units of the cell vectors:
1 Cs 0.0000 0.0000 0.0000
2 Na 0.0000 0.5000 0.8818
3 Mg 0.0000 0.0000 0.4168
4 Mg 0.0000 0.2472 0.6523
5 Mg 0.0000 0.2845 0.1369
6 Mg 0.0000 0.5000 0.3950
7 Mg 0.0000 0.7155 0.1369
8 Mg 0.0000 0.7528 0.6523
9 Mg 0.5000 0.0000 0.1602
10 Mg 0.5000 0.0000 0.6547
11 Mg 0.5000 0.2512 0.3930
12 Mg 0.5000 0.2610 0.8864
13 Mg 0.5000 0.5000 0.1367
14 Mg 0.5000 0.5000 0.6431
15 Mg 0.5000 0.7390 0.8864
16 Mg 0.5000 0.7488 0.3930
17 O 0.0000 0.0000 0.6403
18 O 0.0000 0.2342 0.3767
19 O 0.0000 0.2602 0.8923
20 O 0.0000 0.5000 0.1606
21 O 0.0000 0.5000 0.6215
22 O 0.0000 0.7398 0.8923
23 O 0.0000 0.7658 0.3767
24 O 0.5000 0.0000 0.3882
25 O 0.5000 0.0000 0.8861
26 O 0.5000 0.2425 0.1414
27 O 0.5000 0.2508 0.6378
28 O 0.5000 0.5000 0.3855
29 O 0.5000 0.5000 0.8956
30 O 0.5000 0.7492 0.6378
31 O 0.5000 0.7575 0.1414



The following is a DFT calculation (GGA-PBE) of an optimized crystal structure of Li3BeCu.

Results
- Size of the total moment: 0.0 μB per formula unit
- Formation energy from the elements: 0.615 eV/atom
- Offset from the most stable computed form: 0.0 meV/atom
- Total DFT energy (no corrections): -10.5 eV for the cell shown
- Space-group type: Pm-3m

abc: 4.5079 4.5079 4.5079
angles: 90.00 90.00 90.00
Sites, in units of the cell vectors:
1 Li 0.0000 0.0000 0.5000
2 Li 0.0000 0.5000 0.0000
3 Li 0.5000 0.0000 0.0000
4 Be 0.5000 0.5000 0.5000
5 Cu 0.0000 0.0000 0.0000



The following is a DFT calculation (GGA-PBE) of an optimized crystal structure of Sr2AgGeAu6.

Results
- Size of the total moment: 0.0 μB per formula unit
- Formation energy from the elements: -0.401 eV/atom
- Total DFT energy (no corrections): -34.5 eV for the cell shown
- Space-group type: C2/m

abc: 6.9326 6.9326 9.1334
angles: 127.17 127.17 48.00
Sites, in units of the cell vectors:
1 Sr 0.2359 0.2359 0.1994
2 Sr 0.7641 0.7641 0.8006
3 Ag 0.5000 0.5000 0.0000
4 Ge 0.0000 0.0000 0.5000
5 Au 0.2463 0.7435 0.2558
6 Au 0.2519 0.2519 0.6016
7 Au 0.2565 0.7537 0.7442
8 Au 0.7435 0.2463 0.2558
9 Au 0.7481 0.7481 0.3984
10 Au 0.7537 0.2565 0.7442



> Number 3 is which compound?

Sr2AgGeAu6